(1)
# ReBi2Pt | Alexandria via LeMat-Bulk | PBE-GGA | relaxed
data_ReBi2Pt
_cell_length_a 6.958
_cell_length_b 6.958
_cell_length_c 6.958
_cell_angle_alpha 90.00
_cell_angle_beta 90.00
_cell_angle_gamma 90.00
_symmetry_space_group_name_H-M 'F m -3 m'
_symmetry_Int_Tables_number 225
_symmetry_space_group_name_Hall '-F 4 2 3'
loop_
_atom_site_label
_atom_site_type_symbol
_atom_site_fract_x
_atom_site_fract_y
_atom_site_fract_z
_atom_site_occupancy
Re1 Re 0.000 0.000 0.000 1
Bi1 Bi 0.250 0.250 0.250 1
Pt1 Pt 0.000 0.000 0.500 1
# - Total magnetization: 0.000 μB/atom
# - Energy of formation from the pure elements: 0.732 eV per atom
# - Crystal system: cubic

***

(2)
# Zr2AgW | Alexandria via LeMat-Bulk | PBE-GGA | relaxed
data_Zr2AgW
_cell_length_a 9.584
_cell_length_b 2.827
_cell_length_c 5.854
_cell_angle_alpha 90.00
_cell_angle_beta 95.24
_cell_angle_gamma 90.00
_symmetry_space_group_name_H-M 'C 1 2/m 1'
_symmetry_Int_Tables_number 12
_symmetry_space_group_name_Hall '-C 2y'
loop_
_atom_site_label
_atom_site_type_symbol
_atom_site_fract_x
_atom_site_fract_y
_atom_site_fract_z
_atom_site_occupancy
Zr1 Zr 0.249 0.000 0.262 1
Ag1 Ag 0.000 0.500 0.000 1
W1 W 0.000 0.000 0.500 1
# - Total magnetization: 0.000 μB/atom
# - Energy of formation from the pure elements: 0.322 eV per atom
# - Crystal system: monoclinic